Entry 1:
DFT (PBE) results for an optimized crystal structure of ReMo2W3.

Summary:
Its space group is C2/c. For the magnetic moment, the calculation gives 0.00 μB per cell. Its formation energy is 22.9 meV per atom.

Lattice parameters (Å, degrees): 4.4909 6.8922 6.8922 86.95 108.93 108.93
Last column: nearest neighbours and their distance in Å.
Positions (direct):
Re1 0.2500 0.5848 0.4152  4 W 2.73, 2 Mo 2.73, 2 Re 2.76
Re2 0.7500 0.4152 0.5848  4 W 2.73, 2 Mo 2.73, 2 Re 2.76
Mo1 0.2500 0.9175 0.0825  4 Mo 2.74-2.76, 4 W 2.74-2.75
Mo2 0.2500 0.2508 0.7492  4 W 2.72-2.76, 2 Re 2.73, 2 Mo 2.76
Mo3 0.7500 0.0825 0.9175  4 Mo 2.74-2.76, 4 W 2.74-2.75
Mo4 0.7500 0.7492 0.2508  4 W 2.72-2.76, 2 Re 2.73, 2 Mo 2.76
W1 0.0017 0.1684 0.3353  3 Mo 2.72-2.76, 1 Re 2.73, 4 W 2.75
W2 0.5017 0.3353 0.1684  3 Mo 2.72-2.76, 1 Re 2.73, 4 W 2.75
W3 0.0000 0.5000 0.0000  2 Re 2.73, 2 Mo 2.74, 4 W 2.75
W4 0.9983 0.8316 0.6647  3 Mo 2.72-2.76, 1 Re 2.73, 4 W 2.75
W5 0.5000 0.0000 0.5000  2 Re 2.73, 2 Mo 2.74, 4 W 2.75
W6 0.4983 0.6647 0.8316  3 Mo 2.72-2.76, 1 Re 2.73, 4 W 2.75

---

Entry 2:
DFT (PBE) results for an optimized crystal structure of Re2MoW.

Summary:
Its space group is R3m. For the magnetic moment, the calculation gives 0.00 μB per cell. Its formation energy is 230.2 meV per atom.

Lattice parameters (Å, degrees): 9.5559 9.5559 9.5559 16.68 16.68 16.68
Last column: nearest neighbours and their distance in Å.
Positions (direct):
Mo1 0.2522 0.2522 0.2522  6 Mo 2.77, 3 Re 2.86, 3 W 2.95
Re1 0.0027 0.0027 0.0027  9 Re 2.72-2.77, 3 Mo 2.86
Re2 0.7471 0.7471 0.7471  9 Re 2.72-2.77, 3 W 2.87
W1 0.4980 0.4980 0.4980  6 W 2.77, 3 Re 2.87, 3 Mo 2.95

---

Entry 3:
DFT (PBE) results for an optimized crystal structure of Re3Mo6W2.

Summary:
Its space group is Immm. For the magnetic moment, the calculation gives 0.00 μB per cell. Its formation energy is 501.2 meV per atom.

Lattice parameters (Å, degrees): 9.0148 4.8371 8.4069 90.00 90.00 90.00
Last column: nearest neighbours and their distance in Å.
Positions (direct):
Re1 0.5000 0.5000 0.5000  4 Mo 2.55
Re2 0.0000 0.5000 0.8079  4 Mo 2.57-2.67, 2 W 2.85
Re3 0.0000 0.5000 0.1921  4 Mo 2.57-2.67, 2 W 2.85
Re4 0.5000 0.0000 0.3079  4 Mo 2.57-2.67, 2 W 2.85
Re5 0.5000 0.0000 0.6921  4 Mo 2.57-2.67, 2 W 2.85
Re6 0.0000 0.0000 0.0000  4 Mo 2.55
Mo1 0.2214 0.4999 0.0000  2 Re 2.57, 6 Mo 2.77-2.83, 2 W 2.79
Mo2 0.2687 0.4999 0.3259  2 Re 2.55-2.67, 5 Mo 2.76-2.83
Mo3 0.2687 0.4999 0.6741  2 Re 2.55-2.67, 5 Mo 2.76-2.83
Mo4 0.7687 0.0001 0.8259  2 Re 2.55-2.67, 5 Mo 2.76-2.83
Mo5 0.7687 0.0001 0.1741  2 Re 2.55-2.67, 5 Mo 2.76-2.83
Mo6 0.7214 0.0001 0.5000  2 Re 2.57, 6 Mo 2.77-2.83, 2 W 2.79
Mo7 0.2786 0.9999 0.5000  2 Re 2.57, 6 Mo 2.77-2.83, 2 W 2.79
Mo8 0.2313 0.9999 0.1741  2 Re 2.55-2.67, 5 Mo 2.76-2.83
Mo9 0.2313 0.9999 0.8259  2 Re 2.55-2.67, 5 Mo 2.76-2.83
Mo10 0.7313 0.5001 0.6741  2 Re 2.55-2.67, 5 Mo 2.76-2.83
Mo11 0.7313 0.5001 0.3259  2 Re 2.55-2.67, 5 Mo 2.76-2.83
Mo12 0.7786 0.5001 0.0000  2 Re 2.57, 6 Mo 2.77-2.83, 2 W 2.79
W1 0.5000 0.2473 0.0000  2 W 2.39-2.44
W2 0.0000 0.2527 0.5000  2 W 2.39-2.44
W3 0.0000 0.7473 0.5000  2 W 2.39-2.44
W4 0.5000 0.7527 0.0000  2 W 2.39-2.44

---

Entry 4:
DFT (PBE) results for an optimized crystal structure of ReMo14W.

Summary:
Its space group is Cmmm. For the magnetic moment, the calculation gives 0.00 μB per cell. Its formation energy is 2.3 meV per atom.

Lattice parameters (Å, degrees): 5.4669 5.4669 8.9717 90.00 90.00 109.34
Last column: nearest neighbours and their distance in Å.
Positions (direct):
Re1 0.1250 0.8750 0.5000  8 Mo 2.73-2.74
Mo1 0.1250 0.8750 0.0000  8 Mo 2.73-2.74
Mo2 0.6250 0.3750 0.0000  8 Mo 2.73-2.74
Mo3 0.1250 0.3750 0.5000  2 W 2.73, 2 Re 2.73, 4 Mo 2.74
Mo4 0.1250 0.3750 0.0000  8 Mo 2.73-2.75
Mo5 0.6250 0.8750 0.5000  2 W 2.73, 2 Re 2.73, 4 Mo 2.74
Mo6 0.6250 0.8750 0.0000  8 Mo 2.73-2.75
Mo7 0.3751 0.1251 0.7499  6 Mo 2.73-2.74, 1 W 2.74, 1 Re 2.74
Mo8 0.3751 0.1251 0.2501  6 Mo 2.73-2.74, 1 W 2.74, 1 Re 2.74
Mo9 0.8749 0.6249 0.7499  6 Mo 2.73-2.74, 1 W 2.74, 1 Re 2.74
Mo10 0.8749 0.6249 0.2501  6 Mo 2.73-2.74, 1 W 2.74, 1 Re 2.74
Mo11 0.3748 0.6252 0.7495  8 Mo 2.73-2.75
Mo12 0.3748 0.6252 0.2505  8 Mo 2.73-2.75
Mo13 0.8752 0.1248 0.7496  8 Mo 2.73-2.75
Mo14 0.8752 0.1248 0.2504  8 Mo 2.73-2.75
W1 0.6250 0.3750 0.5000  8 Mo 2.73-2.74

---

Entry 5:
DFT (PBE) results for an optimized crystal structure of Re2MoW.

Summary:
Its space group is P4/mmm. For the magnetic moment, the calculation gives 0.00 μB per cell. Its formation energy is 206.0 meV per atom.

Lattice parameters (Å, degrees): 2.8108 2.8108 7.8908 90.00 90.00 90.00
Last column: nearest neighbours and their distance in Å.
Positions (direct):
Mo1 0.5000 0.5000 0.7500  8 Re 2.79, 4 Mo 2.81
Re1 0.0000 0.0000 0.9989  4 Mo 2.79, 4 W 2.81, 4 Re 2.81
Re2 0.0000 0.0000 0.5011  4 Mo 2.79, 4 W 2.81, 4 Re 2.81
W1 0.5000 0.5000 0.2500  8 Re 2.81, 4 W 2.81

---

Entry 6:
DFT (PBE) results for an optimized crystal structure of Re2MoW.

Summary:
Its space group is Pmm2. For the magnetic moment, the calculation gives 0.00 μB per cell. Its formation energy is 213.9 meV per atom.

Lattice parameters (Å, degrees): 2.7868 3.9862 5.6204 90.00 90.00 90.00
Last column: nearest neighbours and their distance in Å.
Positions (direct):
Mo1 0.5000 0.5000 0.7555  6 Re 2.75-2.87, 2 Mo 2.79, 4 W 2.84
Re1 0.0000 0.0000 0.0032  2 W 2.77-2.85, 6 Re 2.79, 4 Mo 2.80
Re2 0.5000 0.5000 0.2457  2 Mo 2.75-2.87, 6 Re 2.79, 4 W 2.81
W1 0.0000 0.0000 0.4956  6 Re 2.77-2.85, 2 W 2.79, 4 Mo 2.84

---

Entry 7:
DFT (PBE) results for an optimized crystal structure of ReMo6W.

Summary:
Its space group is R-3. For the magnetic moment, the calculation gives 0.00 μB per cell. Its formation energy is 35.0 meV per atom.

Lattice parameters (Å, degrees): 7.1191 7.1185 5.0343 45.09 45.09 60.08
Last column: nearest neighbours and their distance in Å.
Positions (direct):
Re1 0.5000 0.5000 0.5000  12 Mo 2.81-2.82
Mo1 0.0009 0.4996 0.7502  2 Mo 2.51-2.52, 1 Re 2.81
Mo2 0.7494 0.0005 0.7506  2 Mo 2.51-2.53, 1 W 2.81, 1 Re 2.81
Mo3 0.4999 0.2505 0.2503  2 Mo 2.52-2.53, 1 Re 2.81
Mo4 0.2506 0.9995 0.2494  2 Mo 2.51-2.53, 1 W 2.81, 1 Re 2.81
Mo5 0.9991 0.5004 0.2498  2 Mo 2.51-2.52, 1 Re 2.81
Mo6 0.5001 0.7495 0.7497  2 Mo 2.52-2.53, 1 Re 2.81
W1 0.0000 0.0000 0.0000  12 Mo 2.81-2.82

---

Entry 8:
DFT (PBE) results for an optimized crystal structure of ReMo2W.

Summary:
Its space group is P4/mmm. For the magnetic moment, the calculation gives 0.00 μB per cell. Its formation energy is 295.1 meV per atom.

Lattice parameters (Å, degrees): 4.1799 3.8995 3.8995 90.00 90.00 90.00
Last column: nearest neighbours and their distance in Å.
Positions (direct):
Mo1 0.0000 0.0000 0.0000  4 Mo 2.76, 4 W 2.86, 4 Re 2.86
Mo2 0.0000 0.5000 0.5000  4 Mo 2.76, 4 W 2.86, 4 Re 2.86
Re1 0.5000 0.5000 0.0000  4 W 2.76, 8 Mo 2.86
W1 0.5000 0.0000 0.5000  4 Re 2.76, 8 Mo 2.86

---

Entry 9:
DFT (PBE) results for an optimized crystal structure of Re2Mo3W4.

Summary:
Its space group is C2/c. For the magnetic moment, the calculation gives 0.00 μB per cell. Its formation energy is 399.5 meV per atom.

Lattice parameters (Å, degrees): 9.2700 6.6724 6.6724 117.63 72.31 72.31
Last column: nearest neighbours and their distance in Å.
Positions (direct):
Re1 0.4326 0.3473 0.4954  4 W 2.55-2.85, 1 Re 2.68, 1 Mo 2.78
Re2 0.0674 0.5046 0.6527  4 W 2.55-2.85, 1 Re 2.68, 1 Mo 2.78
Re3 0.5674 0.6527 0.5046  4 W 2.55-2.85, 1 Re 2.68, 1 Mo 2.78
Re4 0.9326 0.4954 0.3473  4 W 2.55-2.85, 1 Re 2.68, 1 Mo 2.78
Mo1 0.8423 0.0430 0.1401  3 Mo 2.61-2.66, 1 W 2.78, 1 Re 2.88
Mo2 0.6577 0.8599 0.9570  3 Mo 2.61-2.66, 1 W 2.78, 1 Re 2.88
Mo3 0.1577 0.9570 0.8599  3 Mo 2.61-2.66, 1 W 2.78, 1 Re 2.88
Mo4 0.3423 0.1401 0.0430  3 Mo 2.61-2.66, 1 W 2.78, 1 Re 2.88
Mo5 0.2500 0.6341 0.3659  6 W 2.55-2.84, 2 Mo 2.61, 2 Re 2.78
Mo6 0.7500 0.3659 0.6341  6 W 2.55-2.84, 2 Mo 2.61, 2 Re 2.78
W1 0.3543 0.0034 0.4646  2 Re 2.55-2.75, 1 Mo 2.79, 1 W 2.81
W2 0.1457 0.5354 0.9966  2 Re 2.55-2.75, 1 Mo 2.79, 1 W 2.81
W3 0.6457 0.9966 0.5354  2 Re 2.55-2.75, 1 Mo 2.79, 1 W 2.81
W4 0.8543 0.4646 0.0034  2 Re 2.55-2.75, 1 Mo 2.79, 1 W 2.81
W5 0.0877 0.0510 0.3414  3 Mo 2.55-2.84, 3 W 2.61-2.81, 2 Re 2.66-2.85
W6 0.4123 0.6586 0.9490  3 Mo 2.55-2.84, 3 W 2.61-2.81, 2 Re 2.66-2.85
W7 0.9123 0.9490 0.6586  3 Mo 2.55-2.84, 3 W 2.61-2.81, 2 Re 2.66-2.85
W8 0.5877 0.3414 0.0510  3 Mo 2.55-2.84, 3 W 2.61-2.81, 2 Re 2.66-2.85

---

Entry 10:
DFT (PBE) results for an optimized crystal structure of Re2MoW.

Summary:
Its space group is Cmm2. For the magnetic moment, the calculation gives 0.00 μB per cell. Its formation energy is 136.2 meV per atom.

Lattice parameters (Å, degrees): 2.7225 2.7225 8.9023 90.00 90.00 109.58
Last column: nearest neighbours and their distance in Å.
Positions (direct):
Mo1 0.5000 0.5000 0.7520  2 Re 2.71, 4 Mo 2.72, 2 W 2.75
Re1 0.0000 0.0000 0.0007  6 Re 2.71-2.72, 2 Mo 2.71
Re2 0.5000 0.5000 0.2490  6 Re 2.71-2.72, 2 W 2.72
W1 0.0000 0.0000 0.4983  2 Re 2.72, 4 W 2.72, 2 Mo 2.75

---

Entry 11:
DFT (PBE) results for an optimized crystal structure of Re2MoW.

Summary:
Its space group is Fm-3m. For the magnetic moment, the calculation gives 0.00 μB per cell. Its formation energy is 91.0 meV per atom.

Lattice parameters (Å, degrees): 4.4462 4.4462 4.4462 60.00 60.00 60.00
Last column: nearest neighbours and their distance in Å.
Positions (direct):
Re1 0.2500 0.2500 0.2500  4 W 2.72, 4 Mo 2.72
Re2 0.7500 0.7500 0.7500  4 W 2.72, 4 Mo 2.72
Mo1 0.0000 0.0000 0.0000  8 Re 2.72
W1 0.5000 0.5000 0.5000  8 Re 2.72

---

Entry 12:
DFT (PBE) results for an optimized crystal structure of ReMo2W2.

Summary:
Its space group is Immm. For the magnetic moment, the calculation gives 0.00 μB per cell. Its formation energy is 917.1 meV per atom.

Lattice parameters (Å, degrees): 4.7762 7.2167 6.7342 122.39 110.76 90.02
Last column: nearest neighbours and their distance in Å.
Positions (direct):
Re1 0.2439 0.7439 0.9879  4 W 2.67-2.83, 4 Mo 2.71-2.92
Re2 0.7561 0.2561 0.0121  4 W 2.67-2.83, 4 Mo 2.71-2.92
Mo1 0.4999 0.1716 0.5000  1 Mo 2.48, 4 W 2.62-2.71
Mo2 0.1329 0.1329 0.7658  3 W 2.47-2.69, 2 Re 2.71, 1 Mo 2.74
Mo3 0.5001 0.8284 0.5000  1 Mo 2.48, 4 W 2.62-2.71
Mo4 0.8671 0.8671 0.2342  3 W 2.47-2.69, 2 Re 2.71, 1 Mo 2.74
W1 0.6274 0.6274 0.7548  3 Mo 2.47-2.71, 1 W 2.63, 2 Re 2.67
W2 0.0001 0.6801 0.5000  1 W 2.60, 4 Mo 2.62-2.69, 2 Re 2.83
W3 0.9999 0.3199 0.5000  1 W 2.60, 4 Mo 2.62-2.69, 2 Re 2.83
W4 0.3726 0.3726 0.2452  3 Mo 2.47-2.71, 1 W 2.63, 2 Re 2.67